Below is a relaxed structure of PaSb3Ru, with properties calculated at the PBE-GGA level.

Summary:
The calculation puts the total energy at -6.3047 eV/atom. As for the total moment: 0.000 μB/f.u. Its uncorrected formation energy is -0.38 eV/f.u.

a = 5.8602 Å, b = 5.1510 Å, c = 8.3624 Å
α = 90.00°, β = 90.00°, γ = 90.00°
Last column: nearest neighbours and their distance in Å.
Space group Pmma (No. 51)
One atom of each set of equivalent atoms:
Pa 0.2500 0.0000 0.1524 [2 per cell]  9 Sb 3.04-3.38
Sb 0.0000 0.5000 0.0000 [2 per cell]  2 Ru 2.87, 2 Sb 2.93
Sb 0.2500 0.0000 0.7486 [2 per cell]  2 Ru 2.60
Sb 0.2500 0.5000 0.3891 [2 per cell]  1 Ru 2.65
Ru 0.2500 0.5000 0.7054 [2 per cell]  5 Sb 2.60-2.87